# 1
A relaxed LiNiAsIr crystal. Source: the Alexandria database, functional PBE-GGA.

Total magnetization = 0.00 μB/f.u.
Space-group type = F-43m, No. 216
ΔH_f (0 K) = -0.2178 eV per atom

Unit cell a=4.146 b=4.146 c=4.146 alpha=60.00 beta=60.00 gamma=60.00
Positions (direct):
Ni1 0.500 0.500 0.500
As1 0.250 0.250 0.250
Ir1 0.000 0.000 0.000
Li1 0.750 0.750 0.750


# 2
A relaxed Ta2FeAu crystal. Source: the Alexandria database, functional PBE-GGA.

Total magnetization = 0.00 μB/f.u.
Space-group type = P4/mmm, No. 123
ΔH_f (0 K) = 0.0355 eV per atom

Unit cell a=3.981 b=3.981 c=4.012 alpha=90.00 beta=90.00 gamma=90.00
Positions (direct):
Au1 0.500 0.000 0.500
Fe1 0.000 0.500 0.500
Ta1 0.000 0.000 0.000
Ta2 0.500 0.500 0.000


# 3
A relaxed Sm7Te2Ir2 crystal. Source: the Alexandria database, functional PBE-GGA.

Formation energy (no corrections) = -759 meV/atom
Total magnetization = 0.00 μB/f.u.
Space-group type = Imm2, No. 44

Unit cell a=4.111 b=9.382 c=9.382 alpha=66.11 beta=77.35 gamma=77.35
Positions (direct):
Sm1 0.816 0.052 0.316
Sm2 0.885 0.404 0.827
Sm3 0.500 0.977 0.023
Sm4 0.609 0.502 0.280
Sm5 0.391 0.720 0.498
Sm6 0.184 0.684 0.948
Sm7 0.115 0.173 0.596
Te1 0.720 0.872 0.688
Te2 0.280 0.312 0.128
Ir1 0.000 0.778 0.222
Ir2 0.500 0.379 0.621


# 4
A relaxed Sc2TcPd2 crystal. Source: the Alexandria database, functional PBE-GGA.

Total magnetization = 0.83 μB/f.u.
Space-group type = P4/mbm, No. 127
ΔH_f (0 K) = -0.3636 eV per atom

Unit cell a=7.132 b=7.132 c=3.535 alpha=90.00 beta=90.00 gamma=90.00
Site moments in Bohr magnetons follow the coordinates.
Positions (direct):
Sc1 0.174 0.674 0.500  -0.05
Sc2 0.674 0.826 0.500  -0.05
Sc3 0.826 0.326 0.500  -0.05
Sc4 0.326 0.174 0.500  -0.05
Tc1 0.000 0.000 0.000  0.82
Tc2 0.500 0.500 0.000  0.82
Pd1 0.369 0.869 0.000  0.04
Pd2 0.869 0.631 0.000  0.04
Pd3 0.631 0.131 0.000  0.04
Pd4 0.131 0.369 0.000  0.04


# 5
A relaxed HfMo crystal. Source: the Alexandria database, functional PBE-GGA.

Total magnetization = 0.00 μB/f.u.
Space-group type = P4/nmm, No. 129
ΔH_f (0 K) = -0.0476 eV per atom

Unit cell a=3.222 b=3.222 c=7.184 alpha=90.00 beta=90.00 gamma=90.00
Positions (direct):
Hf1 0.000 0.500 0.147
Hf2 0.500 0.000 0.853
Mo1 0.000 0.500 0.600
Mo2 0.500 0.000 0.400


# 6
A relaxed TaNiAs2 crystal. Source: the Alexandria database, functional PBE-GGA.

Total magnetization = 0.00 μB/f.u.
Space-group type = I-42d, No. 122
ΔH_f (0 K) = 0.1688 eV per atom

Unit cell a=5.702 b=5.702 c=6.660 alpha=64.65 beta=64.65 gamma=90.00
Positions (direct):
Ni1 0.500 0.500 0.000
Ni2 0.250 0.750 0.500
As1 0.597 0.125 0.250
As2 0.153 0.625 0.250
As3 0.375 0.403 0.750
As4 0.875 0.847 0.750
Ta1 0.000 0.000 0.000
Ta2 0.750 0.250 0.500


# 7
A relaxed PmGaRu2 crystal. Source: the Alexandria database, functional PBE-GGA.

Total magnetization = 0.00 μB/f.u.
Space-group type = P4/mmm, No. 123
ΔH_f (0 K) = -0.1334 eV per atom

Unit cell a=3.300 b=3.300 c=6.462 alpha=90.00 beta=90.00 gamma=90.00
Positions (direct):
Ru1 0.000 0.000 0.792
Ru2 0.000 0.000 0.208
Ga1 0.500 0.500 0.000
Pm1 0.500 0.500 0.500


# 8
A relaxed NdSc3Ga2 crystal. Source: the Alexandria database, functional PBE-GGA.

Total magnetization = 0.00 μB/f.u.
Space-group type = Pmc2_1, No. 26
ΔH_f (0 K) = -0.4316 eV per atom

Unit cell a=4.661 b=6.323 c=9.242 alpha=90.00 beta=90.00 gamma=90.00
Positions (direct):
Nd1 0.500 0.553 0.549
Nd2 0.500 0.053 0.451
Sc1 0.000 0.456 0.950
Sc2 0.000 0.956 0.050
Sc3 0.500 0.664 0.177
Sc4 0.500 0.164 0.823
Sc5 0.000 0.334 0.294
Sc6 0.000 0.834 0.706
Ga1 0.500 0.715 0.875
Ga2 0.500 0.215 0.125
Ga3 0.000 0.278 0.648
Ga4 0.000 0.778 0.352